Entry from Alexandria: a relaxed structure of CuSi2Hg (PBE-GGA).

abc: 3.788 3.788 6.485
angles: 106.02 106.02 56.50
Fractional positions:
Cu: 0.000 0.000 0.000
Si: 0.258 0.258 0.807
Si: 0.527 0.527 0.636
Hg: 0.768 0.768 0.292

Calculated total energy: -0.2576 Ry/atom
Raw formation energy: 29.6 kJ/mol of atoms

Entry from Alexandria: a relaxed structure of Sr3In6Sn2Au (PBE-GGA).

abc: 6.168 6.168 11.004
angles: 90.00 90.00 120.00
Fractional positions:
Sr: 0.000 0.000 0.000
Sr: 0.333 0.667 0.567
Sr: 0.667 0.333 0.433
In: 0.168 0.335 0.276
In: 0.168 0.832 0.276
In: 0.335 0.168 0.724
In: 0.665 0.832 0.276
In: 0.832 0.168 0.724
In: 0.832 0.665 0.724
Sn: 0.333 0.667 0.028
Sn: 0.667 0.333 0.972
Au: 0.000 0.000 0.500

Calculated total energy: -0.2193 Ry/atom
Energy relative to the elements: -0.25 eV/atom

Entry from Alexandria: a relaxed structure of SrHg2Se2 (PBE-GGA).

abc: 8.769 8.769 8.769
angles: 152.28 152.28 39.61
Fractional positions:
Sr: 0.000 0.000 0.000
Hg: 0.250 0.750 0.500
Hg: 0.750 0.250 0.500
Se: 0.423 0.423 0.000
Se: 0.577 0.577 0.000

Energy above the most stable polymorph in this dataset: 0 meV/atom
Calculated total energy: -0.1905 Ry/atom
Raw formation energy: -71.5 kJ/mol of atoms

Entry from Alexandria: a relaxed structure of Mn4CrAu (PBE-GGA).

abc: 4.752 4.752 4.752
angles: 60.00 60.00 60.00
Fractional positions:
Mn: 0.124 0.124 0.124
Mn: 0.124 0.124 0.628
Mn: 0.124 0.628 0.124
Mn: 0.628 0.124 0.124
Cr: 0.500 0.500 0.500
Au: 0.750 0.750 0.750

Calculated total energy: -0.5922 Ry/atom
Energy relative to the elements: 0.21 eV/atom

Entry from Alexandria: a relaxed structure of CuSb2Ir (PBE-GGA).

abc: 4.849 4.849 3.234
angles: 90.00 90.00 98.98
Fractional positions:
Cu: 0.000 0.000 0.000
Sb: 0.000 0.500 0.500
Sb: 0.500 0.000 0.500
Ir: 0.500 0.500 0.000

Energy above the most stable polymorph in this dataset: 247 meV/atom
Calculated total energy: -0.3695 Ry/atom
Raw formation energy: 26.4 kJ/mol of atoms

Entry from Alexandria: a relaxed structure of TaHg2S (PBE-GGA).

abc: 7.259 7.259 7.259
angles: 95.90 95.90 142.60
Fractional positions:
Ta: 0.000 0.000 0.000
Ta: 0.750 0.250 0.500
Hg: 0.011 0.625 0.886
Hg: 0.375 0.261 0.386
Hg: 0.739 0.125 0.114
Hg: 0.875 0.989 0.614
S: 0.250 0.750 0.500
S: 0.500 0.500 0.000

Calculated total energy: -0.2857 Ry/atom
Raw formation energy: 25.0 kJ/mol of atoms

Entry from Alexandria: a relaxed structure of LiAgS2 (PBE-GGA).

abc: 4.556 4.556 4.556
angles: 60.00 60.00 60.00
Fractional positions:
Li: 0.000 0.000 0.000
Ag: 0.500 0.500 0.500
S: 0.250 0.250 0.250
S: 0.750 0.750 0.750

Energy above the most stable polymorph in this dataset: 102 meV/atom
Calculated total energy: -0.2462 Ry/atom
Raw formation energy: -9.2 kJ/mol of atoms

Entry from Alexandria: a relaxed structure of Tb4CdIr (PBE-GGA).

abc: 8.067 8.067 8.067
angles: 107.36 107.36 113.78
Fractional positions:
Tb: 0.190 0.000 0.190
Tb: 0.196 0.490 0.294
Tb: 0.196 0.903 0.706
Tb: 0.240 0.446 0.794
Tb: 0.653 0.446 0.206
Tb: 0.750 0.060 0.310
Tb: 0.750 0.440 0.690
Tb: 0.810 0.000 0.810
Cd: 0.469 0.969 0.500
Cd: 0.719 0.719 0.000
Ir: 0.226 0.226 0.000
Ir: 0.976 0.476 0.500

Energy above the most stable polymorph in this dataset: 352 meV/atom
Calculated total energy: -0.3589 Ry/atom
Energy relative to the elements: -0.17 eV/atom

Entry from Alexandria: a relaxed structure of LaY4Tm4 (PBE-GGA).

abc: 6.249 9.151 10.874
angles: 86.58 80.22 70.09
Fractional positions:
La: 0.221 0.000 0.222
La: 0.779 0.000 0.778
Y: 0.175 0.623 0.168
Y: 0.202 0.623 0.831
Y: 0.224 0.000 0.559
Y: 0.224 0.000 0.887
Y: 0.776 0.000 0.113
Y: 0.776 0.000 0.441
Y: 0.798 0.377 0.169
Y: 0.825 0.377 0.832
Tm: 0.188 0.624 0.499
Tm: 0.354 0.283 0.337
Tm: 0.357 0.286 0.000
Tm: 0.362 0.283 0.663
Tm: 0.638 0.717 0.337
Tm: 0.643 0.714 0.000
Tm: 0.646 0.717 0.663
Tm: 0.812 0.376 0.501

Energy above the most stable polymorph in this dataset: 62 meV/atom
Calculated total energy: -0.3904 Ry/atom
Energy relative to the elements: 0.10 eV/atom

Entry from Alexandria: a relaxed structure of Ac2NbAs4Pd3 (PBE-GGA).

abc: 4.500 4.500 10.486
angles: 90.00 90.00 90.00
Fractional positions:
Ac: 0.000 0.500 0.232
Ac: 0.500 0.000 0.768
Nb: 0.000 0.000 0.500
As: 0.000 0.000 0.000
As: 0.000 0.500 0.632
As: 0.500 0.000 0.368
As: 0.500 0.500 0.000
Pd: 0.000 0.500 0.879
Pd: 0.500 0.000 0.121
Pd: 0.500 0.500 0.500

Calculated total energy: -0.4480 Ry/atom
Energy relative to the elements: -0.85 eV/atom

Entry from Alexandria: a relaxed structure of Rb2Np2RhS6 (PBE-GGA).

abc: 6.563 6.563 8.254
angles: 97.92 97.92 118.98
Fractional positions:
Rb: 0.170 0.830 0.000
Rb: 0.830 0.170 0.000
Np: 0.333 0.667 0.500
Np: 0.667 0.333 0.500
Rh: 0.000 0.000 0.500
S: 0.065 0.376 0.683
S: 0.247 0.247 0.319
S: 0.376 0.065 0.683
S: 0.624 0.935 0.317
S: 0.753 0.753 0.681
S: 0.935 0.624 0.317

Calculated total energy: -0.4823 Ry/atom
Raw formation energy: -107.5 kJ/mol of atoms

Entry from Alexandria: a relaxed structure of BeCd2Cl (PBE-GGA).

abc: 5.678 5.678 5.678
angles: 136.86 136.86 62.65
Fractional positions:
Be: 0.000 0.000 0.000
Cd: 0.250 0.750 0.500
Cd: 0.750 0.250 0.500
Cl: 0.500 0.500 0.000

Energy above the most stable polymorph in this dataset: 596 meV/atom
Calculated total energy: -0.1058 Ry/atom
Raw formation energy: 39.6 kJ/mol of atoms

| no. | magnetic moment (μB/atom) |
| --- | --- |
| 1 | 0.0000 |
| 2 | 0.0000 |
| 3 | 0.0000 |
| 4 | 0.5410 |
| 5 | 0.0000 |
| 6 | 0.0000 |
| 7 | 0.0000 |
| 8 | 0.0000 |
| 9 | 0.0000 |
| 10 | 0.0000 |
| 11 | 0.6364 |
| 12 | 0.0000 |